Record 1
## Ce2SnPd4 (PBE-GGA)

Data for a geometry-optimized Ce2SnPd4 structure.

The space group is C2/m (No. 12) and the conventional cell measures 8.874, 5.584 and 7.953 Å, with angles of 90.00, 122.69 and 90.00 degrees. The inequivalent atoms are Ce at (0.177, 0.000, 0.291), Sn at (0.000, 0.500, 0.000), Pd at (0.170, 0.000, 0.646) and Pd at (0.250, 0.250, 0.000).

The calculated volume comes out at 331.67 Å³/cell. The calculation puts the formation energy at -0.558 eV/atom. Its crystal system is monoclinic. The value obtained for the total magnetic moment is 1.7 μB/f.u.

=====

Record 2
## RbB2W (PBE-GGA)

Data for a geometry-optimized RbB2W structure.

The space group is I-42d (No. 122) and the conventional cell measures 6.681, 6.681 and 9.285 Å, with angles of 90.00, 90.00 and 90.00 degrees. The inequivalent atoms are Rb at (0.000, 0.000, 0.000), B at (0.054, 0.250, 0.625) and W at (0.000, 0.000, 0.500).

The calculated volume comes out at 414.44 Å³/cell. The calculation puts the formation energy at 0.985 eV/atom. Its crystal system is tetragonal. The value obtained for the total magnetic moment is 0.0 μB/f.u. For the distance to the lowest polymorph of the same formula, the calculation gives 0.00 kcal/mol of atoms.

=====

Record 3
## Sc2HOsAu (PBE-GGA)

Data for a geometry-optimized Sc2HOsAu structure.

The space group is P4/mmm (No. 123) and the conventional cell measures 4.572, 4.572 and 3.588 Å, with angles of 90.00, 90.00 and 90.00 degrees. The inequivalent atoms are Sc at (0.000, 0.500, 0.000), H at (0.000, 0.000, 0.000), Os at (0.000, 0.000, 0.500) and Au at (0.500, 0.500, 0.500).

The calculated volume comes out at 75.00 Å³/cell. The value obtained for the total energy is -0.2432 Ha/atom. Its crystal system is tetragonal. The value obtained for the total magnetic moment is 0.0 μB/f.u.

=====

Record 4
## LaNdInGa (PBE-GGA)

Data for a geometry-optimized LaNdInGa structure.

The space group is F-43m (No. 216) and the conventional cell measures 7.671, 7.671 and 7.671 Å, with angles of 90.00, 90.00 and 90.00 degrees. The inequivalent atoms are La at (0.000, 0.000, 0.000), Nd at (0.000, 0.000, 0.500), In at (0.250, 0.250, 0.250) and Ga at (0.250, 0.250, 0.750).

The calculated volume comes out at 451.47 Å³/cell. The calculation puts the formation energy at -0.507 eV/atom. Its crystal system is cubic. The value obtained for the total magnetic moment is 0.0 μB/f.u. For the distance to the lowest polymorph of the same formula, the calculation gives 0.59 kcal/mol of atoms.

=====

Record 5
## LiBeS2 (PBE-GGA)

Data for a geometry-optimized LiBeS2 structure.

The space group is I-42d (No. 122) and the conventional cell measures 5.485, 5.485 and 9.108 Å, with angles of 90.00, 90.00 and 90.00 degrees. The inequivalent atoms are Li at (0.000, 0.000, 0.000), Be at (0.000, 0.000, 0.500) and S at (0.199, 0.250, 0.625).

The calculated volume comes out at 274.00 Å³/cell. Its crystal system is tetragonal. The value obtained for the total magnetic moment is 0.9 μB/f.u. As for the uncorrected formation energy: -0.73 eV per atom.

=====

Record 6
## Ba2Na2BiO6 (PBE-GGA)

Data for a geometry-optimized Ba2Na2BiO6 structure.

The space group is R-3m (No. 166, hexagonal axes) and the conventional cell measures 6.5195, 6.5195 and 16.5106 Å, with angles of 90.00, 90.00 and 120.00 degrees. The inequivalent atoms are Ba at (0.0000, 0.0000, 0.2130), Na at (0.0000, 0.0000, 0.4180), Bi at (0.0000, 0.0000, 0.0000) and O at (0.0443, 0.5221, 0.7504).

The calculated volume comes out at 607.74 Å³/cell. Its crystal system is trigonal. The value obtained for the total magnetic moment is 1.1 μB/f.u. As for the uncorrected formation energy: -1.51 eV per atom.

=====

Record 7
## Tb6SnTe3Se2 (PBE-GGA)

Data for a geometry-optimized Tb6SnTe3Se2 structure.

The space group is C2/m (No. 12) and the conventional cell measures 7.382, 12.768 and 7.557 Å, with angles of 90.00, 108.98 and 90.00 degrees. The inequivalent atoms are Tb at (0.232, 0.000, 0.223), Tb at (0.246, 0.329, 0.227), Sn at (0.000, 0.500, 0.000), Te at (0.000, 0.000, 0.500), Te at (0.000, 0.337, 0.500) and Se at (0.000, 0.168, 0.000).

The calculated volume comes out at 673.61 Å³/cell. Its crystal system is monoclinic. The value obtained for the total magnetic moment is 0.0 μB/f.u. As for the uncorrected formation energy: -1.40 eV per atom.

=====

Record 8
## TaSi2Br (PBE-GGA)

Data for a geometry-optimized TaSi2Br structure.

The space group is C2/m (No. 12) and the conventional cell measures 8.862, 3.432 and 5.553 Å, with angles of 90.00, 93.82 and 90.00 degrees. The inequivalent atoms are Ta at (0.000, 0.000, 0.000), Si at (0.214, 0.500, 0.130) and Br at (0.000, 0.500, 0.500).

The calculated volume comes out at 168.50 Å³/cell. Its crystal system is monoclinic. The value obtained for the total magnetic moment is 0.0 μB/f.u. For the distance to the lowest polymorph of the same formula, the calculation gives 6.75 kcal/mol of atoms. As for the uncorrected formation energy: 0.31 eV per atom.

=====

Record 9
## ZnCoRe (PBE-GGA)

Data for a geometry-optimized ZnCoRe structure.

The space group is F-43m (No. 216) and the conventional cell measures 5.568, 5.568 and 5.568 Å, with angles of 90.00, 90.00 and 90.00 degrees. The inequivalent atoms are Zn at (0.000, 0.000, 0.000), Co at (0.250, 0.250, 0.750) and Re at (0.000, 0.000, 0.500).

The calculated volume comes out at 172.59 Å³/cell. The calculation puts the formation energy at 0.303 eV/atom. Its crystal system is cubic. The value obtained for the total magnetic moment is 0.0 μB/f.u. For the distance to the lowest polymorph of the same formula, the calculation gives 5.78 kcal/mol of atoms.

=====

Record 10
## Li2CaSi (PBE-GGA)

Data for a geometry-optimized Li2CaSi structure.

The space group is I-42d (No. 122) and the conventional cell measures 4.371, 4.371 and 18.819 Å, with angles of 90.00, 90.00 and 90.00 degrees. The inequivalent atoms are Li at (0.129, 0.250, 0.125), Ca at (0.000, 0.000, 0.500) and Si at (0.000, 0.000, 0.000).

The calculated volume comes out at 359.60 Å³/cell. Its crystal system is tetragonal. The value obtained for the total magnetic moment is 0.0 μB/f.u. As for the uncorrected formation energy: -0.02 eV per atom.

=====

Record 11
## Nd4GaAsS2 (PBE-GGA)

Data for a geometry-optimized Nd4GaAsS2 structure.

The space group is P2/m (No. 10) and the conventional cell measures 7.291, 4.135 and 7.294 Å, with angles of 90.00, 108.94 and 90.00 degrees. The inequivalent atoms are Nd at (0.241, 0.000, 0.244), Nd at (0.247, 0.500, 0.750), Ga at (0.500, 0.500, 0.500), As at (0.500, 0.000, 0.000), S at (0.000, 0.000, 0.500) and S at (0.000, 0.500, 0.000).

The calculated volume comes out at 207.99 Å³/cell. Its crystal system is monoclinic. The value obtained for the total magnetic moment is 0.0 μB/f.u. As for the uncorrected formation energy: -1.51 eV per atom.

=====

Record 12
## Ca5Zr3 (PBE-GGA)

Data for a geometry-optimized Ca5Zr3 structure.

The space group is I4/mcm (No. 140) and the conventional cell measures 13.015, 13.015 and 6.029 Å, with angles of 90.00, 90.00 and 90.00 degrees. The inequivalent atoms are Ca at (0.000, 0.500, 0.250), Ca at (0.070, 0.227, 0.000), Zr at (0.000, 0.000, 0.250) and Zr at (0.188, 0.312, 0.500).

The calculated volume comes out at 1021.29 Å³/cell. The calculation puts the formation energy at 0.524 eV/atom. Its crystal system is tetragonal. The value obtained for the total magnetic moment is 0.0 μB/f.u.